1.
# ScRh5 PBE-GGA relaxed
data_ScRh5
_symmetry_space_group_name_H-M 'P 4/m m m'
_symmetry_Int_Tables_number 123
_symmetry_space_group_name_Hall '-P 4 2'
_cell_length_a 2.8053
_cell_length_b 2.8053
_cell_length_c 11.4328
_cell_angle_alpha 90.00
_cell_angle_beta 90.00
_cell_angle_gamma 90.00
loop_
_atom_site_label
_atom_site_fract_x
_atom_site_fract_y
_atom_site_fract_z
Sc1 0.0000 0.0000 0.0000
Rh1 0.0000 0.0000 0.3376
Rh2 0.5000 0.5000 0.1732
Rh3 0.5000 0.5000 0.5000
# Calculated total energy (eV/f.u.): -44.2
# Energy relative to the elements (eV per atom): -0.189

***

2.
# ScRh6 PBE-GGA relaxed
data_ScRh6
_symmetry_space_group_name_H-M 'I m -3 m'
_symmetry_Int_Tables_number 229
_symmetry_space_group_name_Hall '-I 4 2 3'
_cell_length_a 6.7102
_cell_length_b 6.7102
_cell_length_c 6.7102
_cell_angle_alpha 90.00
_cell_angle_beta 90.00
_cell_angle_gamma 90.00
loop_
_atom_site_label
_atom_site_fract_x
_atom_site_fract_y
_atom_site_fract_z
Sc1 0.0000 0.0000 0.0000
Rh1 0.0000 0.2500 0.5000
# Calculated total energy (eV/f.u.): -45.6
# Energy relative to the elements (eV per atom): 0.688

***

3.
# Sc3Rh PBE-GGA relaxed
data_Sc3Rh
_symmetry_space_group_name_H-M 'P 63/m m c'
_symmetry_Int_Tables_number 194
_symmetry_space_group_name_Hall '-P 6c 2c'
_cell_length_a 6.1839
_cell_length_b 6.1839
_cell_length_c 9.6425
_cell_angle_alpha 90.00
_cell_angle_beta 90.00
_cell_angle_gamma 120.00
loop_
_atom_site_label
_atom_site_fract_x
_atom_site_fract_y
_atom_site_fract_z
Sc1 0.0000 0.5000 0.0000
Sc2 0.1590 0.3180 0.2500
Rh1 0.0000 0.0000 0.0000
Rh2 0.3333 0.6667 0.7500
# Calculated total energy (eV/f.u.): -27.7
# Energy relative to the elements (eV per atom): -0.339

***

4.
# Sc5Rh PBE-GGA relaxed
data_Sc5Rh
_symmetry_space_group_name_H-M 'F -4 3 m'
_symmetry_Int_Tables_number 216
_symmetry_space_group_name_Hall 'F -4 2 3'
_cell_length_a 8.0783
_cell_length_b 8.0783
_cell_length_c 8.0783
_cell_angle_alpha 90.00
_cell_angle_beta 90.00
_cell_angle_gamma 90.00
loop_
_atom_site_label
_atom_site_fract_x
_atom_site_fract_y
_atom_site_fract_z
Sc1 0.0000 0.0000 0.0000
Sc2 0.1245 0.1245 0.3755
Rh1 0.2500 0.2500 0.7500
# Calculated total energy (eV/f.u.): -37.4
# Energy relative to the lowest polymorph listed for this composition (eV per formula unit): 3.58
# Energy relative to the elements (eV per atom): 0.270

***

5.
# Sc4Rh5 PBE-GGA relaxed
data_Sc4Rh5
_symmetry_space_group_name_H-M 'P 63/m c m'
_symmetry_Int_Tables_number 193
_symmetry_space_group_name_Hall '-P 6c 2'
_cell_length_a 7.8343
_cell_length_b 7.8343
_cell_length_c 5.6580
_cell_angle_alpha 90.00
_cell_angle_beta 90.00
_cell_angle_gamma 120.00
loop_
_atom_site_label
_atom_site_fract_x
_atom_site_fract_y
_atom_site_fract_z
Sc1 0.0000 0.0000 0.0000
Sc2 0.0000 0.3789 0.2500
Rh1 0.0000 0.2954 0.7500
Rh2 0.3333 0.6667 0.0000
# Calculated total energy (eV/f.u.): -69.0
# Energy relative to the lowest polymorph listed for this composition (eV per formula unit): 0.00
# Energy relative to the elements (eV per atom): -0.769

***

6.
# Sc3Rh PBE-GGA relaxed
data_Sc3Rh
_symmetry_space_group_name_H-M 'R -3 m'
_symmetry_Int_Tables_number 166
_symmetry_space_group_name_Hall '-R 3 2"'
_cell_length_a 9.4430
_cell_length_b 9.4430
_cell_length_c 3.0735
_cell_angle_alpha 90.00
_cell_angle_beta 90.00
_cell_angle_gamma 120.00
loop_
_atom_site_label
_atom_site_fract_x
_atom_site_fract_y
_atom_site_fract_z
Sc1 0.0000 0.5000 0.0000
Rh1 0.0000 0.0000 0.0000
# Calculated total energy (eV/f.u.): -27.2
# Energy relative to the elements (eV per atom): -0.220

***

7.
# ScRh5 PBE-GGA relaxed
data_ScRh5
_symmetry_space_group_name_H-M 'F -4 3 m'
_symmetry_Int_Tables_number 216
_symmetry_space_group_name_Hall 'F -4 2 3'
_cell_length_a 7.2541
_cell_length_b 7.2541
_cell_length_c 7.2541
_cell_angle_alpha 90.00
_cell_angle_beta 90.00
_cell_angle_gamma 90.00
loop_
_atom_site_label
_atom_site_fract_x
_atom_site_fract_y
_atom_site_fract_z
Sc1 0.0000 0.0000 0.0000
Rh1 0.1247 0.1247 0.6247
Rh2 0.2500 0.2500 0.2500
# Calculated total energy (eV/f.u.): -44.0
# Energy relative to the elements (eV per atom): -0.148

***

8.
# Sc5Rh PBE-GGA relaxed
data_Sc5Rh
_symmetry_space_group_name_H-M 'P 6/m m m'
_symmetry_Int_Tables_number 191
_symmetry_space_group_name_Hall '-P 6 2'
_cell_length_a 5.5017
_cell_length_b 5.5017
_cell_length_c 5.3591
_cell_angle_alpha 90.00
_cell_angle_beta 90.00
_cell_angle_gamma 120.00
loop_
_atom_site_label
_atom_site_fract_x
_atom_site_fract_y
_atom_site_fract_z
Sc1 0.0000 0.5000 0.0000
Sc2 0.3333 0.6667 0.5000
Rh1 0.0000 0.0000 0.5000
# Calculated total energy (eV/f.u.): -35.9
# Energy relative to the lowest polymorph listed for this composition (eV per formula unit): 5.04
# Energy relative to the elements (eV per atom): 0.514